Below is an optimized crystal structure of PmMn2BrO4, with properties calculated at the PBE with a Hubbard U level.

## Properties
crystal system: tetragonal
calculated volume: 128.2 Å³/cell
VASP energy: -6.994 eV per atom

Cell lengths 3.7946, 3.7946, 8.9036 Å; angles 90.00, 90.00, 90.00 degrees
Fractional positions:
Pm (0.0000, 0.0000, 0.0000)
Mn (0.5000, 0.5000, 0.2359)
Mn (0.5000, 0.5000, 0.7641)
Br (0.0000, 0.0000, 0.5000)
O (0.0000, 0.5000, 0.1675)
O (0.0000, 0.5000, 0.8325)
O (0.5000, 0.0000, 0.1675)
O (0.5000, 0.0000, 0.8325)